UMn4Si2, optimized geometry, DFT PBE; formation energy without anion corrections = -0.12 eV per atom; E = -59.66 eV for the cell shown; density of states at the Fermi level = 7.554 states/eV per cell
1.0
-1.785 1.785 7.829
1.785 -1.785 7.829
1.785 1.785 -7.829
U Mn Si
1 4 2
direct
0.000 0.000 0.000
0.136 0.136 0.000
0.250 0.750 0.500
0.750 0.250 0.500
0.864 0.864 0.000
0.364 0.364 0.000
0.636 0.636 0.000

---

UMn3Si2, optimized geometry, DFT PBE; formation energy without anion corrections = -0.33 eV per atom; E = -154.89 eV for the cell shown; density of states at the Fermi level = 22.917 states/eV per cell
1.0
7.892 -1.952 0.000
7.892 1.952 0.000
-3.023 0.000 8.364
U Mn Si
3 9 6
direct
0.000 0.000 0.000
0.156 0.156 0.727
0.844 0.844 0.273
0.046 0.046 0.359
0.204 0.204 0.396
0.321 0.321 0.030
0.379 0.379 0.804
0.500 0.500 0.500
0.621 0.621 0.196
0.679 0.679 0.970
0.796 0.796 0.604
0.954 0.954 0.641
0.198 0.198 0.125
0.359 0.359 0.526
0.468 0.468 0.218
0.532 0.532 0.782
0.641 0.641 0.474
0.802 0.802 0.875

---

UMnSi3, optimized geometry, DFT PBE; formation energy without anion corrections = -0.33 eV per atom; E = -38.38 eV for the cell shown; density of states at the Fermi level = 6.813 states/eV per cell
1.0
-2.017 2.017 4.853
2.017 -2.017 4.853
2.017 2.017 -4.853
U Mn Si
1 1 3
direct
0.000 0.000 0.000
0.658 0.658 0.000
0.264 0.764 0.500
0.430 0.430 0.000
0.764 0.264 0.500

---

UMn2Si2, optimized geometry, DFT PBE; formation energy without anion corrections = -0.18 eV per atom; E = -41.36 eV for the cell shown; density of states at the Fermi level = 5.601 states/eV per cell
1.0
0.000 3.835 3.872
2.616 0.000 3.872
2.616 3.835 0.000
U Mn Si
1 2 2
direct
0.000 0.000 0.000
0.308 0.692 0.308
0.692 0.308 0.692
0.250 0.250 0.250
0.750 0.750 0.750

---

U2MnSi3, optimized geometry, DFT PBE; formation energy without anion corrections = -0.31 eV per atom; E = -49.86 eV for the cell shown; density of states at the Fermi level = 10.947 states/eV per cell
1.0
5.076 -2.034 0.000
5.076 2.034 0.000
-4.781 0.000 5.132
U Mn Si
2 1 3
direct
0.000 0.000 0.000
0.508 0.508 0.532
0.247 0.247 0.926
0.250 0.250 0.598
0.742 0.742 0.419
0.769 0.769 0.112

---

UMnSi, optimized geometry, DFT PBE; formation energy without anion corrections = -0.24 eV per atom; E = -53.18 eV for the cell shown; density of states at the Fermi level = 7.034 states/eV per cell
1.0
-1.800 3.157 4.178
1.800 -3.157 4.178
1.800 3.157 -4.178
U Mn Si
2 2 2
direct
0.171 0.171 0.000
0.829 0.829 0.000
0.361 0.861 0.500
0.639 0.139 0.500
0.297 0.500 0.797
0.703 0.500 0.203